Compound: Na8Si7O18
Source: the Alexandria database
Functional: PBE
Structure: relaxed

a b c (Å): 7.2577 7.2577 7.2577
angles (deg): 87.17 87.17 87.17
With the nearest neighbours (Å) after each atom.
Positions (direct):
Na 0.0000 0.0000 0.5000  4 O 2.28-2.35
Na 0.0000 0.5000 0.0000  4 O 2.28-2.35
Na 0.0000 0.5000 0.5000  8 O 2.55-2.63
Na 0.2363 0.2363 0.2363  6 O 2.23-2.46
Na 0.5000 0.0000 0.0000  4 O 2.28-2.35
Na 0.5000 0.0000 0.5000  8 O 2.55-2.63
Na 0.5000 0.5000 0.0000  8 O 2.55-2.63
Na 0.7637 0.7637 0.7637  6 O 2.23-2.46
Si 0.0000 0.0000 0.0000  6 O 1.83
Si 0.2610 0.7279 0.7279  4 O 1.58-1.68
Si 0.2721 0.2721 0.7390  4 O 1.58-1.68
Si 0.2721 0.7390 0.2721  4 O 1.58-1.68
Si 0.7279 0.2610 0.7279  4 O 1.58-1.68
Si 0.7279 0.7279 0.2610  4 O 1.58-1.68
Si 0.7390 0.2721 0.2721  4 O 1.58-1.68
O 0.0813 0.8310 0.8310  2 Si 1.64-1.83
O 0.1690 0.1690 0.9187  2 Si 1.64-1.83
O 0.1690 0.9187 0.1690  2 Si 1.64-1.83
O 0.2126 0.2126 0.5442  1 Si 1.58
O 0.2126 0.5442 0.2126  1 Si 1.58
O 0.2343 0.5000 0.7657  2 Si 1.68
O 0.2343 0.7657 0.5000  2 Si 1.68
O 0.4558 0.7874 0.7874  1 Si 1.58
O 0.5000 0.2343 0.7657  2 Si 1.68
O 0.5000 0.7657 0.2343  2 Si 1.68
O 0.5442 0.2126 0.2126  1 Si 1.58
O 0.7657 0.2343 0.5000  2 Si 1.68
O 0.7657 0.5000 0.2343  2 Si 1.68
O 0.7874 0.4558 0.7874  1 Si 1.58
O 0.7874 0.7874 0.4558  1 Si 1.58
O 0.8310 0.0813 0.8310  2 Si 1.64-1.83
O 0.8310 0.8310 0.0813  2 Si 1.64-1.83
O 0.9187 0.1690 0.1690  2 Si 1.64-1.83

Values from the calculation:
Its formation energy (no corrections) is -2.434 eV per atom. Its size of the total moment is 0.000 μB/atom. Its total energy is -6.608 eV per atom.